Entry 1:
VASP calculation (GGA-PBE) on a relaxed ZnB2Se crystal.

The structure in POSCAR format:
```
ZnB2Se
1.0
-0.1393 -3.1109 2.7388
-1.9718 0.5051 3.6131
-3.5736 -1.9819 0.7067
Zn B Se
1 2 1
direct
0.0000 0.0000 0.0000
0.2500 0.2500 0.2500
0.7500 0.7500 0.7500
0.5000 0.5000 0.5000
```

Energy relative to the elements, uncorrected   1.5755 eV/atom
Total magnetic moment   0.0 μB per formula unit
Energy above the lowest structure with this stoichiometry   804.2 meV/atom
Symmetry   Fm-3m
Final energy   -11.81 eV/cell

=====

Entry 2:
VASP calculation (GGA-PBE) on a relaxed Nd4Dy15Sc crystal.

The structure in POSCAR format:
```
Nd4Dy15Sc
1.0
-5.0182 -0.1349 -0.4301
0.4415 -2.4378 -4.3873
-0.4513 -21.9403 12.1456
Nd Dy Sc
4 15 1
direct
0.0000 0.0000 0.1973
0.0000 0.0000 0.3987
0.0000 0.0000 0.6013
0.0000 0.0000 0.8027
0.5000 0.5000 0.0000
0.5000 0.5000 0.1964
0.5000 0.5000 0.3990
0.5000 0.5000 0.6010
0.5000 0.5000 0.8036
0.5000 0.0000 0.0952
0.5000 0.0000 0.2976
0.5000 0.0000 0.5000
0.5000 0.0000 0.7024
0.5000 0.0000 0.9048
0.0000 0.5000 0.0952
0.0000 0.5000 0.2976
0.0000 0.5000 0.5000
0.0000 0.5000 0.7024
0.0000 0.5000 0.9048
0.0000 0.0000 0.0000
```

Calculated formation energy   0.024 eV per atom
Total magnetic moment   0.0 μB per formula unit
Symmetry   P4/mmm
Final energy   -93.95 eV/cell

=====

Entry 3:
VASP calculation (GGA-PBE) on a relaxed LuScCoCu crystal.

The structure in POSCAR format:
```
LuScCoCu
1.0
-1.1396 -4.1717 -1.5916
3.2207 -2.7085 -1.8778
1.4145 -3.7800 2.2240
Sc Lu Co Cu
1 1 1 1
direct
0.2500 0.2500 0.2500
0.7500 0.7500 0.7500
0.5000 0.5000 0.5000
0.0000 0.0000 0.0000
```

Calculated formation energy   -0.277 eV per atom
Total magnetic moment   0.2 μB per formula unit
Symmetry   F-43m
Final energy   -23.16 eV/cell

=====

Entry 4:
VASP calculation (GGA-PBE) on a relaxed Rb3MgW crystal.

The structure in POSCAR format:
```
Rb3MgW
1.0
7.0939 0.0000 0.0000
0.0000 7.0939 0.0000
0.0000 0.0000 7.0939
Mg Rb W
1 3 1
direct
0.5000 0.5000 0.5000
0.0000 0.5000 0.0000
0.0000 0.0000 0.5000
0.5000 0.0000 0.0000
0.0000 0.0000 0.0000
```

Calculated formation energy   1.480 eV per atom
Total magnetic moment   6.4 μB per formula unit
Energy above the lowest structure with this stoichiometry   0.0 meV/atom
Symmetry   Pm-3m
Final energy   -10.05 eV/cell

=====

Entry 5:
VASP calculation (GGA-PBE) on a relaxed CsBO3 crystal.

The structure in POSCAR format:
```
CsBO3
1.0
4.3267 0.0000 0.0000
0.0000 4.3267 0.0000
0.0000 0.0000 4.3267
Cs B O
1 1 3
direct
0.0000 0.0000 0.0000
0.5000 0.5000 0.5000
0.0000 0.5000 0.0000
0.0000 0.0000 0.5000
0.5000 0.0000 0.0000
```

Energy relative to the elements, uncorrected   1.6551 eV/atom
Total magnetic moment   0.0 μB per formula unit
Symmetry   Pm-3m
Final energy   -14.13 eV/cell

=====

Entry 6:
VASP calculation (GGA-PBE) on a relaxed LiMg6Zn5 crystal.

The structure in POSCAR format:
```
LiMg6Zn5
1.0
-2.3515 -1.5048 3.7349
3.8674 -6.4452 -3.0521
4.2069 6.5142 2.3831
Mg Zn Li
6 5 1
direct
0.2530 0.0835 0.4222
0.7470 0.5778 0.9165
0.7542 0.2560 0.2560
0.2458 0.7440 0.7440
0.2530 0.4222 0.0835
0.7470 0.9165 0.5778
0.5000 0.1619 0.8381
0.0000 0.3331 0.6669
0.5000 0.5000 0.5000
0.0000 0.6669 0.3331
0.5000 0.8381 0.1619
0.0000 0.0000 0.0000
```

Calculated formation energy   -0.095 eV per atom
Total magnetic moment   0.0 μB per formula unit
Symmetry   C2/m
Final energy   -18.99 eV/cell